A geometry-optimized CsSn6H2 structure, computed with PBE.

a = 5.0423 Å, b = 7.1095 Å, c = 8.3966 Å
α = 110.12°, β = 92.03°, γ = 110.75°
Fractional positions:
Cs: 0.0000 0.0000 0.0000
Sn: 0.2506 0.5236 0.8253
Sn: 0.3386 0.7842 0.6007
Sn: 0.3792 0.7275 0.2281
Sn: 0.6208 0.2725 0.7719
Sn: 0.6614 0.2158 0.3993
Sn: 0.7494 0.4764 0.1747
H: 0.0095 0.1968 0.3936
H: 0.9905 0.8032 0.6064

Space group: P-1 (2)
Volume (Å³/atom): 28.89
Energy (eV per atom): -3.479



A geometry-optimized CsTcSnH6 structure, computed with PBE.

a = 4.7416 Å, b = 4.7453 Å, c = 6.9107 Å
α = 90.02°, β = 90.03°, γ = 119.80°
Fractional positions:
Cs: 0.0000 0.0000 0.0000
Tc: 0.3296 0.6745 0.5000
Sn: 0.6638 0.3393 0.5000
H: 0.1736 0.8253 0.3372
H: 0.1754 0.3772 0.6699
H: 0.1795 0.3761 0.3306
H: 0.1804 0.8319 0.6629
H: 0.6288 0.8306 0.3315
H: 0.6301 0.8262 0.6678

Space group: P1 (1)
Volume (Å³/atom): 14.99
Energy (eV per atom): -4.002



A geometry-optimized Cs2ZnSnH6 structure, computed with PBE.

a = 6.3814 Å, b = 6.3814 Å, c = 6.3814 Å
α = 120.00°, β = 119.89°, γ = 90.09°
Fractional positions:
Cs: 0.2500 0.2500 0.0000
Cs: 0.7500 0.7500 0.0000
Zn: 0.5000 0.0000 0.5000
Sn: 0.0000 0.5000 0.5000
H: 0.2106 0.2886 0.4992
H: 0.2113 0.7113 0.5000
H: 0.2106 0.7114 0.9220
H: 0.7894 0.2886 0.0780
H: 0.7887 0.2887 0.5000
H: 0.7894 0.7114 0.5008

Space group: Immm (71)
Volume (Å³/atom): 18.39
Energy (eV per atom): -2.660



A geometry-optimized Cs3SrH structure, computed with PBE.

a = 6.7808 Å, b = 6.7808 Å, c = 6.7808 Å
α = 90.00°, β = 90.00°, γ = 90.00°
Fractional positions:
Cs: 0.0000 0.0000 0.5000
Cs: 0.0000 0.5000 0.0000
Cs: 0.5000 0.0000 0.0000
Sr: 0.5000 0.5000 0.5000
H: 0.0000 0.0000 0.0000

Space group: Pm-3m (221)
Volume (Å³/atom): 62.36
Energy (eV per atom): -1.414



A geometry-optimized Cs2SrH structure, computed with PBE.

a = 10.1782 Å, b = 10.1782 Å, c = 10.1782 Å
α = 90.00°, β = 90.00°, γ = 90.00°
Fractional positions:
Cs: 0.2500 0.2500 0.2500
Cs: 0.2500 0.2500 0.7500
Cs: 0.2500 0.7500 0.2500
Cs: 0.2500 0.7500 0.7500
Cs: 0.7500 0.2500 0.2500
Cs: 0.7500 0.2500 0.7500
Cs: 0.7500 0.7500 0.2500
Cs: 0.7500 0.7500 0.7500
Sr: 0.0000 0.0000 0.0000
Sr: 0.0000 0.5000 0.5000
Sr: 0.5000 0.0000 0.5000
Sr: 0.5000 0.5000 0.0000
H: 0.0000 0.0000 0.5000
H: 0.0000 0.5000 0.0000
H: 0.5000 0.0000 0.0000
H: 0.5000 0.5000 0.5000

Space group: Fm-3m (225)
Volume (Å³/atom): 65.90
Energy (eV per atom): -1.172



A geometry-optimized Cs2Sr2H7 structure, computed with PBE.

a = 6.3531 Å, b = 6.3531 Å, c = 6.7461 Å
α = 90.00°, β = 90.00°, γ = 102.19°
Fractional positions:
Cs: 0.2458 0.2458 0.0000
Cs: 0.7542 0.7542 0.0000
Sr: 0.2427 0.7573 0.5000
Sr: 0.7573 0.2427 0.5000
H: 0.0000 0.0000 0.5000
H: 0.0000 0.5000 0.2758
H: 0.0000 0.5000 0.7242
H: 0.5000 0.0000 0.2758
H: 0.5000 0.0000 0.7242
H: 0.5000 0.5000 0.4343
H: 0.5000 0.5000 0.5657

Space group: Cmmm (65)
Volume (Å³/atom): 24.20
Energy (eV per atom): -2.778